## one
# NaGdTl

Crystalline NaGdTl at its relaxed geometry (PBE, OQMD via LeMat-Bulk).

Computed properties:
* M_tot: 0.6 μB/cell

abc: 5.185 5.185 5.185
angles: 60.00 60.00 60.00
Atoms (fractional coordinates):
Gd1 0.000 0.000 0.000
Na1 0.250 0.250 0.250
Tl1 0.750 0.750 0.750



## two
# NaGdTl

Crystalline NaGdTl at its relaxed geometry (PBE, OQMD via LeMat-Bulk).

Computed properties:
* M_tot: 0.9 μB/cell

abc: 5.163 5.163 5.163
angles: 60.00 60.00 60.00
Atoms (fractional coordinates):
Gd1 0.250 0.250 0.250
Tl1 0.000 0.000 0.000
Na1 0.750 0.750 0.750



Stability summary - winner: two; margin: 265 meV/atom.